BaZr2Mo | the Alexandria database | PBEsol | relaxed; offset from the most stable computed form = 0.000 eV per atom; formation energy = 0.61 eV/atom; total energy = -0.5449 Ry/atom; space-group type = Cmm2, No. 35
1.0
1.6887 -2.6437 0.0000
1.6887 2.6437 0.0000
0.0000 0.0000 10.6074
Ba Zr Mo
1 2 1
Direct
0.0000 0.0000 0.0000 Ba
0.0000 0.0000 0.5570 Zr
0.5000 0.5000 0.3163 Zr
0.5000 0.5000 0.7439 Mo